Here is a relaxed TaTl2Se crystal from Alexandria via LeMat-Bulk. Energies are from PBE.

Structure (POSCAR):
```
TaTl2Se
1.0
3.006 0.000 0.000
0.000 3.006 0.000
0.000 0.000 10.453
Se Ta Tl
1 1 2
direct
0.500 0.500 0.250
0.500 0.500 0.750
0.000 0.000 0.977
0.000 0.000 0.523
```

The calculation puts the energy above the most stable polymorph in this dataset at 2.75 eV per formula unit. The space group is P4/mmm, No. 123. The crystal system is tetragonal.

Here is a relaxed CaAlGa2Au crystal from Alexandria via LeMat-Bulk. Energies are from PBE.

Structure (POSCAR):
```
CaAlGa2Au
1.0
4.140 0.000 0.000
0.000 4.177 0.000
-2.070 -2.089 5.849
Ca Al Ga Au
1 1 2 1
direct
0.444 0.444 0.888
0.194 0.694 0.388
0.689 0.189 0.379
0.052 0.052 0.105
0.832 0.832 0.664
```

The space group is Imm2, No. 44. The crystal system is orthorhombic. The calculation puts the formation energy from the elements at -529 meV per atom.

Here is a relaxed TbCeLuTh crystal from Alexandria via LeMat-Bulk. Energies are from PBE.

Structure (POSCAR):
```
TbCeLuTh
1.0
5.626 0.000 0.000
2.813 4.872 0.000
2.813 1.624 4.593
Lu Tb Ce Th
1 1 1 1
direct
0.250 0.250 0.250
0.000 0.000 0.000
0.500 0.500 0.500
0.750 0.750 0.750
```

The space group is F-43m, No. 216. The crystal system is cubic. The calculation puts the formation energy from the elements at 231 meV per atom.

Repeat the first record exactly.
Here is a relaxed TaTl2Se crystal from Alexandria via LeMat-Bulk. Energies are from PBE.

Structure (POSCAR):
```
TaTl2Se
1.0
3.006 0.000 0.000
0.000 3.006 0.000
0.000 0.000 10.453
Se Ta Tl
1 1 2
direct
0.500 0.500 0.250
0.500 0.500 0.750
0.000 0.000 0.977
0.000 0.000 0.523
```

The calculation puts the energy above the most stable polymorph in this dataset at 2.75 eV per formula unit. The space group is P4/mmm, No. 123. The crystal system is tetragonal.